Record 1
{
  "formula": "ThNpSN2",
  "functional": "PBE",
  "state": "optimized geometry",
  "lattice_angstrom": [[-1.9333, 1.9333, 6.1262], [1.9333, -1.9333, 6.1262], [1.9333, 1.9333, -6.1262]],
  "species": ["Th", "Np", "S", "N", "N"],
  "frac_coords": [[0.0000, 0.0000, 0.0000], [0.3048, 0.3048, 0.0000], [0.6411, 0.6411, 0.0000], [0.3927, 0.8927, 0.5000], [0.8927, 0.3927, 0.5000]],
  "rho_g_cm3": 9.59,
  "e_form_raw_mev_per_atom": -1521,
  "total_magnetization_mub_per_cell": 3.0,
  "sg": "No. 107",
  "e_tot_ev_per_cell": -48.74
}

=====

Record 2
{
  "formula": "DyScCdNi",
  "functional": "PBE",
  "state": "optimized geometry",
  "lattice_angstrom": [[0.0000, 3.4762, 3.4762], [3.4762, 0.0000, 3.4762], [3.4762, 3.4762, 0.0000]],
  "species": ["Dy", "Sc", "Cd", "Ni"],
  "frac_coords": [[0.0000, 0.0000, 0.0000], [0.5000, 0.5000, 0.5000], [0.7500, 0.7500, 0.7500], [0.2500, 0.2500, 0.2500]],
  "rho_g_cm3": 7.48,
  "delta_e_f_mev_per_atom": -254,
  "total_magnetization_mub_per_cell": 0.0,
  "sg": "No. 216",
  "e_tot_ev_per_cell": -18.65
}

=====

Record 3
{
  "formula": "Ca3SmTm2Te6",
  "functional": "PBE",
  "state": "optimized geometry",
  "lattice_angstrom": [[9.6979, -2.1919, 0.0000], [9.6979, 2.1919, 0.0000], [-2.2271, 0.0000, 8.6276]],
  "species": ["Ca", "Ca", "Ca", "Sm", "Tm", "Tm", "Te", "Te", "Te", "Te", "Te", "Te"],
  "frac_coords": [[0.0000, 0.0000, 0.0000], [0.3360, 0.3360, 0.6687], [0.6640, 0.6640, 0.3313], [0.0000, 0.0000, 0.5000], [0.3371, 0.3371, 0.1752], [0.6629, 0.6629, 0.8248], [0.1688, 0.1688, 0.5886], [0.1708, 0.1708, 0.0744], [0.4981, 0.4981, 0.2455], [0.5019, 0.5019, 0.7545], [0.8292, 0.8292, 0.9256], [0.8312, 0.8312, 0.4114]],
  "rho_g_cm3": 6.22,
  "e_form_raw_mev_per_atom": -1436,
  "total_magnetization_mub_per_cell": 0.0,
  "sg": "No. 12",
  "e_tot_ev_per_cell": -55.75
}

=====

Record 4
{
  "formula": "NaCuRh3",
  "functional": "PBE",
  "state": "optimized geometry",
  "lattice_angstrom": [[4.5985, 0.0000, 0.0000], [0.0000, 4.5985, 0.0000], [0.0000, 0.0000, 4.5985]],
  "species": ["Na", "Cu", "Rh", "Rh", "Rh"],
  "frac_coords": [[0.0000, 0.0000, 0.0000], [0.5000, 0.5000, 0.5000], [0.0000, 0.5000, 0.5000], [0.5000, 0.0000, 0.5000], [0.5000, 0.5000, 0.0000]],
  "rho_g_cm3": 6.75,
  "delta_e_f_mev_per_atom": 1022,
  "total_magnetization_mub_per_cell": 2.3,
  "sg": "No. 221",
  "e_tot_ev_per_cell": -22.36
}

=====

Record 5
{
  "formula": "CdNi3N",
  "functional": "PBE",
  "state": "optimized geometry",
  "lattice_angstrom": [[4.4346, -5.5008, 0.0000], [4.4346, 5.5008, 0.0000], [-0.0090, 0.0000, 4.8981]],
  "species": ["Cd", "Cd", "Cd", "Cd", "Ni", "Ni", "Ni", "Ni", "Ni", "Ni", "Ni", "Ni", "Ni", "Ni", "Ni", "Ni", "N", "N", "N", "N"],
  "frac_coords": [[0.0671, 0.2087, 0.0921], [0.2087, 0.0671, 0.5921], [0.7913, 0.9329, 0.4079], [0.9329, 0.7913, 0.9079], [0.0521, 0.6669, 0.4007], [0.1952, 0.5706, 0.9226], [0.3163, 0.4511, 0.4229], [0.3331, 0.9479, 0.0993], [0.4294, 0.8048, 0.5774], [0.4511, 0.3163, 0.9229], [0.5489, 0.6837, 0.0771], [0.5706, 0.1952, 0.4226], [0.6669, 0.0521, 0.9007], [0.6837, 0.5489, 0.5771], [0.8048, 0.4294, 0.0774], [0.9479, 0.3331, 0.5993], [0.2929, 0.7071, 0.2500], [0.4320, 0.5680, 0.7500], [0.5680, 0.4320, 0.2500], [0.7071, 0.2929, 0.7500]],
  "rho_g_cm3": 8.41,
  "e_form_raw_mev_per_atom": 124,
  "total_magnetization_mub_per_cell": 0.0,
  "sg": "No. 15",
  "e_tot_ev_per_cell": -103.85
}

=====

Record 6
{
  "formula": "CdAsNO2",
  "functional": "PBE",
  "state": "optimized geometry",
  "lattice_angstrom": [[4.0839, 0.0000, 0.0000], [0.0000, 4.0839, 0.0000], [0.0000, 0.0000, 4.2344]],
  "species": ["Cd", "As", "N", "O", "O"],
  "frac_coords": [[0.0000, 0.0000, 0.0000], [0.5000, 0.5000, 0.5000], [0.0000, 0.0000, 0.5000], [0.0000, 0.5000, 0.0000], [0.5000, 0.0000, 0.0000]],
  "rho_g_cm3": 5.49,
  "e_form_raw_mev_per_atom": 1088,
  "total_magnetization_mub_per_cell": 0.6,
  "sg": "No. 123",
  "e_tot_ev_per_cell": -18.37
}

=====

Record 7
{
  "formula": "AcNdZnIr",
  "functional": "PBE",
  "state": "optimized geometry",
  "lattice_angstrom": [[0.0000, 3.7033, 3.7033], [3.7033, 0.0000, 3.7033], [3.7033, 3.7033, 0.0000]],
  "species": ["Ac", "Nd", "Zn", "Ir"],
  "frac_coords": [[0.0000, 0.0000, 0.0000], [0.5000, 0.5000, 0.5000], [0.2500, 0.2500, 0.2500], [0.7500, 0.7500, 0.7500]],
  "rho_g_cm3": 10.28,
  "delta_e_f_mev_per_atom": -396,
  "total_magnetization_mub_per_cell": 0.0,
  "sg": "No. 216",
  "e_tot_ev_per_cell": -20.60
}

=====

Record 8
{
  "formula": "AcPrGePd",
  "functional": "PBE",
  "state": "optimized geometry",
  "lattice_angstrom": [[0.0000, 3.7798, 3.7798], [3.7798, 0.0000, 3.7798], [3.7798, 3.7798, 0.0000]],
  "species": ["Ac", "Pr", "Ge", "Pd"],
  "frac_coords": [[0.0000, 0.0000, 0.0000], [0.5000, 0.5000, 0.5000], [0.2500, 0.2500, 0.2500], [0.7500, 0.7500, 0.7500]],
  "rho_g_cm3": 8.41,
  "delta_e_f_mev_per_atom": -664,
  "total_magnetization_mub_per_cell": 0.0,
  "sg": "No. 216",
  "e_tot_ev_per_cell": -21.35
}

=====

Record 9
{
  "formula": "LaFeIr2",
  "functional": "PBE",
  "state": "optimized geometry",
  "lattice_angstrom": [[1.4390, 0.8308, 9.5880], [-1.4390, 0.8308, 9.5880], [0.0000, -1.6616, 9.5880]],
  "species": ["La", "Fe", "Ir", "Ir"],
  "frac_coords": [[0.0000, 0.0000, 0.0000], [0.7614, 0.7614, 0.7614], [0.2393, 0.2393, 0.2393], [0.4963, 0.4963, 0.4963]],
  "rho_g_cm3": 13.98,
  "delta_e_f_mev_per_atom": 481,
  "total_magnetization_mub_per_cell": 1.7,
  "sg": "No. 160",
  "e_tot_ev_per_cell": -29.19
}

=====

Record 10
{
  "formula": "CaAlZn2Ru",
  "functional": "PBE",
  "state": "optimized geometry",
  "lattice_angstrom": [[4.8744, 0.0000, 0.0000], [0.0000, 4.8744, 0.0000], [0.0000, 0.0000, 5.1265]],
  "species": ["Ca", "Al", "Zn", "Zn", "Ru"],
  "frac_coords": [[0.0000, 0.0000, 0.0000], [0.5000, 0.5000, 0.0000], [0.0000, 0.5000, 0.5000], [0.5000, 0.0000, 0.5000], [0.0000, 0.0000, 0.5000]],
  "rho_g_cm3": 4.08,
  "delta_e_f_mev_per_atom": 452,
  "total_magnetization_mub_per_cell": 0.0,
  "sg": "No. 123",
  "e_tot_ev_per_cell": -15.31
}

=====

Record 11
{
  "formula": "CaTa3Pb",
  "functional": "PBE",
  "state": "optimized geometry",
  "lattice_angstrom": [[5.2217, 0.0000, 0.0000], [0.0000, 5.2217, 0.0000], [0.0000, 0.0000, 5.2217]],
  "species": ["Ca", "Ta", "Ta", "Ta", "Pb"],
  "frac_coords": [[0.0000, 0.0000, 0.0000], [0.0000, 0.5000, 0.5000], [0.5000, 0.0000, 0.5000], [0.5000, 0.5000, 0.0000], [0.5000, 0.5000, 0.5000]],
  "rho_g_cm3": 9.22,
  "delta_e_f_mev_per_atom": 1981,
  "total_magnetization_mub_per_cell": 0.0,
  "sg": "No. 221",
  "e_tot_ev_per_cell": -31.36
}